No. 1
The following is a GGA-PBE calculation of a geometry-optimized Sc3CoTe structure, from Alexandria via LeMat-Bulk.

Calculated values
volume = 21.38 Å³/atom
space group = No. 12
formation energy without anion corrections = -0.5252 eV/atom
calculated density = 4.993 g/cm³
energy above the lowest structure with this stoichiometry = 0 meV/atom
total moment = 0.000 μB per atom

Structure (POSCAR):
```
Sc3CoTe
1.0
-1.726 -3.062 1.047
3.942 -3.108 -2.590
5.485 2.106 8.784
Co Te Sc
2 2 6
direct
0.766 0.881 0.531
0.234 0.119 0.469
0.589 0.545 0.177
0.411 0.455 0.823
0.644 0.075 0.288
0.000 0.240 0.001
0.201 0.614 0.403
0.000 0.760 0.999
0.356 0.925 0.712
0.799 0.386 0.597
```

No. 2
The following is a GGA-PBE calculation of a geometry-optimized Sc2CoTe structure, from Alexandria via LeMat-Bulk.

Calculated values
volume = 22.31 Å³/atom
space group = No. 99
formation energy without anion corrections = -0.4385 eV/atom
calculated density = 5.143 g/cm³
total moment = 0.000 μB per atom

Structure (POSCAR):
```
Sc2CoTe
1.0
3.828 0.242 0.000
-0.242 3.828 0.000
0.000 0.000 6.068
Co Te Sc
1 1 2
direct
0.500 0.500 0.885
0.000 0.000 0.436
0.500 0.500 0.257
0.000 0.000 0.923
```

No. 3
The following is a GGA-PBE calculation of a geometry-optimized ScCoTe2 structure, from Alexandria via LeMat-Bulk.

Calculated values
volume = 22.10 Å³/atom
space group = No. 216
formation energy without anion corrections = 0.1959 eV/atom
calculated density = 6.746 g/cm³
total moment = 0.393 μB per atom

Structure (POSCAR):
```
ScCoTe2
1.0
-0.226 -0.952 -4.903
4.006 -1.811 -2.382
0.013 -4.726 -1.632
Te Sc Co
2 1 1
direct
0.000 0.000 0.000
0.250 0.250 0.250
0.750 0.750 0.750
0.500 0.500 0.500
```

No. 4
The following is a GGA-PBE calculation of a geometry-optimized ScCoTe2 structure, from Alexandria via LeMat-Bulk.

Calculated values
volume = 31.62 Å³/atom
space group = No. 166
formation energy without anion corrections = -0.2256 eV/atom
calculated density = 4.714 g/cm³
total moment = 0.500 μB per atom

Structure (POSCAR):
```
ScCoTe2
1.0
2.432 0.000 8.231
-1.216 2.106 8.231
-1.216 -2.106 8.231
Co Te Sc
1 2 1
direct
0.000 0.000 0.000
0.899 0.899 0.899
0.101 0.101 0.101
0.500 0.500 0.500
```

No. 5
The following is a GGA-PBE calculation of a geometry-optimized Sc2CoTe structure, from Alexandria via LeMat-Bulk.

Calculated values
volume = 18.56 Å³/atom
space group = No. 139
formation energy without anion corrections = -0.3812 eV/atom
calculated density = 6.182 g/cm³
total moment = 0.000 μB per atom

Structure (POSCAR):
```
Sc2CoTe
1.0
5.085 -0.003 0.000
1.526 4.851 0.000
-3.306 -2.424 3.010
Co Te Sc
1 1 2
direct
0.750 0.250 0.500
0.250 0.750 0.500
0.500 0.500 0.000
0.000 0.000 0.000
```

No. 6
The following is a GGA-PBE calculation of a geometry-optimized ScCoTe2 structure, from Alexandria via LeMat-Bulk.

Calculated values
volume = 25.73 Å³/atom
space group = No. 6
formation energy without anion corrections = -0.5496 eV/atom
calculated density = 5.794 g/cm³
total moment = 0.263 μB per atom

Structure (POSCAR):
```
ScCoTe2
1.0
-0.863 -1.603 -3.897
-2.082 -3.074 1.726
-4.897 3.180 -0.224
Te Co Sc
2 1 1
direct
0.500 0.501 0.325
0.000 0.000 0.803
0.000 0.500 0.547
0.500 0.499 0.825
```